VASP calculation (PBE) on crystalline ZrHgP at its relaxed geometry.

CIF file:
```
data_ZrHgP
_space_group_name_H-M_alt 'P 1'
_space_group_IT_number 1
_space_group_name_Hall 'P 1'
_cell_length_a 4.477
_cell_length_b 4.477
_cell_length_c 4.477
_cell_angle_alpha 60.00
_cell_angle_beta 60.00
_cell_angle_gamma 60.00
loop_
_atom_site_label
_atom_site_type_symbol
_atom_site_fract_x
_atom_site_fract_y
_atom_site_fract_z
Zr1 Zr 0.000 0.000 0.000
Hg1 Hg 0.500 0.500 0.500
P1 P 0.250 0.250 0.250
```

Computed properties:
* energy above the most stable polymorph in this dataset: 305 meV/atom
* calculated formation energy: -0.10 eV/atom
* total energy: -4.851 eV/atom
* N(E_F): 3.13 states/eV per cell

***

VASP calculation (PBE) on crystalline ZrHgP3 at its relaxed geometry.

CIF file:
```
data_ZrHgP3
_space_group_name_H-M_alt 'P 1'
_space_group_IT_number 1
_space_group_name_Hall 'P 1'
_cell_length_a 4.854
_cell_length_b 4.854
_cell_length_c 4.854
_cell_angle_alpha 90.00
_cell_angle_beta 90.00
_cell_angle_gamma 90.00
loop_
_atom_site_label
_atom_site_type_symbol
_atom_site_fract_x
_atom_site_fract_y
_atom_site_fract_z
P1 P 0.000 0.500 0.000
P2 P 0.000 0.000 0.500
P3 P 0.500 0.000 0.000
Hg1 Hg 0.000 0.000 0.000
Zr1 Zr 0.500 0.500 0.500
```

Computed properties:
* energy above the most stable polymorph in this dataset: 681 meV/atom
* calculated formation energy: 1.08 eV/atom
* total energy: -3.933 eV/atom
* N(E_F): 3.93 states/eV per cell

***

VASP calculation (PBE) on crystalline Zr2HgP at its relaxed geometry.

CIF file:
```
data_Zr2HgP
_space_group_name_H-M_alt 'P 1'
_space_group_IT_number 1
_space_group_name_Hall 'P 1'
_cell_length_a 3.511
_cell_length_b 3.175
_cell_length_c 7.243
_cell_angle_alpha 81.56
_cell_angle_beta 90.00
_cell_angle_gamma 90.00
loop_
_atom_site_label
_atom_site_type_symbol
_atom_site_fract_x
_atom_site_fract_y
_atom_site_fract_z
Zr1 Zr 0.000 0.097 0.717
Zr2 Zr 0.000 0.903 0.283
Hg1 Hg 0.500 0.500 0.000
P1 P 0.500 0.500 0.500
```

Computed properties:
* energy above the most stable polymorph in this dataset: 196 meV/atom
* calculated formation energy: -0.60 eV/atom
* total energy: -6.304 eV/atom
* N(E_F): 2.35 states/eV per cell